Entry 1:
The following is a DFT calculation (GGA-PBE) of a relaxed Pr7Tl3Ag crystal.

Calculated values
N(E_F) in states/eV per cell: 22.52
Energy of formation from the pure elements in eV/atom: -0.133

Unit cell a=11.601 b=12.009 c=5.911 alpha=90.00 beta=120.47 gamma=90.00
Space group C2/m (No. 12)
Asymmetric unit:
Pr 0.000 0.000 0.000
Pr 0.171 0.271 0.671
Pr 0.187 0.500 0.186
Tl 0.000 0.269 0.000
Tl 0.000 0.500 0.500
Ag 0.000 0.000 0.500

---

Entry 2:
The following is a DFT calculation (GGA-PBE) of a relaxed Pr3Tl3Ag crystal.

Calculated values
N(E_F) in states/eV per cell: 26.39
Energy of formation from the pure elements in eV/atom: -0.216

Unit cell a=10.825 b=10.338 c=7.572 alpha=90.00 beta=91.53 gamma=90.00
Space group C2/m (No. 12)
Asymmetric unit:
Pr 0.096 0.000 0.270
Pr 0.248 0.189 0.748
Tl 0.000 0.229 0.000
Tl 0.000 0.253 0.500
Tl 0.137 0.500 0.927
Ag 0.136 0.500 0.545

---

Entry 3:
The following is a DFT calculation (GGA-PBE) of a relaxed Pr6Tl2Ag crystal.

Calculated values
N(E_F) in states/eV per cell: 21.15
E above lowest polymorph in kJ/mol of formula units: 71
Energy of formation from the pure elements in eV/atom: -0.140

Unit cell a=6.453 b=8.820 c=11.769 alpha=90.00 beta=118.32 gamma=90.00
Space group P2_1/c (No. 14)
Asymmetric unit:
Pr 0.079 0.157 0.451
Pr 0.340 0.700 0.440
Pr 0.410 0.048 0.274
Tl 0.165 0.117 0.761
Ag 0.000 0.000 0.000

---

Entry 4:
The following is a DFT calculation (GGA-PBE) of a relaxed Pr8Tl2Ag3 crystal.

Calculated values
N(E_F) in states/eV per cell: 29.54
Energy of formation from the pure elements in eV/atom: -0.055

Unit cell a=15.631 b=8.337 c=6.537 alpha=90.00 beta=96.00 gamma=90.00
Space group C2/m (No. 12)
Asymmetric unit:
Pr 0.088 0.000 0.383
Pr 0.111 0.211 0.884
Pr 0.177 0.500 0.340
Tl 0.240 0.500 0.837
Ag 0.000 0.335 0.500
Ag 0.000 0.500 0.000

---

Entry 5:
The following is a DFT calculation (GGA-PBE) of a relaxed Pr12TlAg6 crystal.

Calculated values
N(E_F) in states/eV per cell: 58.11
Energy of formation from the pure elements in eV/atom: -0.097

Unit cell a=15.0457 b=15.0457 c=8.3489 alpha=90.00 beta=90.00 gamma=120.00
Space group R-3 (No. 148, hexagonal axes)
Asymmetric unit:
Pr 0.0043 0.8603 0.3390
Pr 0.0623 0.5626 0.6767
Tl 0.0000 0.0000 0.0000
Ag 0.0224 0.2747 0.3240

---

Entry 6:
The following is a DFT calculation (GGA-PBE) of a relaxed Pr5TlAg4 crystal.

Calculated values
N(E_F) in states/eV per cell: 9.29
Energy of formation from the pure elements in eV/atom: -0.274

Unit cell a=3.779 b=3.779 c=19.420 alpha=90.00 beta=90.00 gamma=90.00
Space group P4/mmm (No. 123)
Asymmetric unit:
Pr 0.000 0.000 0.000
Pr 0.000 0.000 0.196
Pr 0.000 0.000 0.392
Tl 0.500 0.500 0.500
Ag 0.500 0.500 0.097
Ag 0.500 0.500 0.292

---

Entry 7:
The following is a DFT calculation (GGA-PBE) of a relaxed Pr7Tl4Ag crystal.

Calculated values
N(E_F) in states/eV per cell: 28.00
Energy of formation from the pure elements in eV/atom: -0.111

Unit cell a=15.045 b=5.808 c=11.609 alpha=90.00 beta=127.44 gamma=90.00
Space group C2/m (No. 12)
Asymmetric unit:
Pr 0.000 0.000 0.000
Pr 0.067 0.500 0.315
Pr 0.161 0.000 0.594
Pr 0.221 0.500 0.872
Tl 0.067 0.000 0.775
Tl 0.204 0.000 0.342
Ag 0.000 0.500 0.000

---

Entry 8:
The following is a DFT calculation (GGA-PBE) of a relaxed Pr2Tl3Ag crystal.

Calculated values
N(E_F) in states/eV per cell: 4.48
E above lowest polymorph in kJ/mol of formula units: 0
Energy of formation from the pure elements in eV/atom: -0.286

Unit cell a=3.743 b=5.069 c=8.791 alpha=90.00 beta=90.00 gamma=90.00
Space group Pmm2 (No. 25)
Asymmetric unit:
Pr 0.000 0.000 0.000
Pr 0.000 0.500 0.496
Tl 0.500 0.000 0.649
Tl 0.500 0.500 0.178
Tl 0.500 0.500 0.836
Ag 0.500 0.000 0.324

---

Entry 9:
The following is a DFT calculation (GGA-PBE) of a relaxed Pr3TlAg2 crystal.

Calculated values
N(E_F) in states/eV per cell: 5.54
Energy of formation from the pure elements in eV/atom: -0.292

Unit cell a=3.771 b=3.771 c=11.889 alpha=90.00 beta=90.00 gamma=90.00
Space group P4/mmm (No. 123)
Asymmetric unit:
Pr 0.000 0.000 0.000
Pr 0.000 0.000 0.322
Tl 0.500 0.500 0.500
Ag 0.500 0.500 0.159

---

Entry 10:
The following is a DFT calculation (GGA-PBE) of a relaxed Pr3TlAg8 crystal.

Calculated values
N(E_F) in states/eV per cell: 8.26
Energy of formation from the pure elements in eV/atom: -0.181

Unit cell a=5.7744 b=5.7744 c=9.4191 alpha=90.00 beta=90.00 gamma=120.00
Space group P3m1 (No. 156)
Asymmetric unit:
Pr 0.0000 0.0000 0.0000
Pr 0.0000 0.0000 0.3904
Pr 0.3333 0.6667 0.8524
Tl 0.3333 0.6667 0.4838
Ag 0.0046 0.5023 0.1829
Ag 0.3306 0.1653 0.6884
Ag 0.6667 0.3333 0.4362
Ag 0.6667 0.3333 0.9371

---

Entry 11:
The following is a DFT calculation (GGA-PBE) of a relaxed PrTl3Ag3 crystal.

Calculated values
N(E_F) in states/eV per cell: 11.27
Energy of formation from the pure elements in eV/atom: 0.450

Unit cell a=7.668 b=7.668 c=7.668 alpha=90.00 beta=90.00 gamma=90.00
Space group Pm-3n (No. 223)
Asymmetric unit:
Pr 0.000 0.000 0.000
Tl 0.000 0.250 0.500
Ag 0.000 0.500 0.250

---

Entry 12:
The following is a DFT calculation (GGA-PBE) of a relaxed Pr2Tl2Ag crystal.

Calculated values
N(E_F) in states/eV per cell: 17.43
Energy of formation from the pure elements in eV/atom: -0.304

Unit cell a=11.596 b=4.836 c=11.452 alpha=90.00 beta=116.03 gamma=90.00
Space group C2/m (No. 12)
Asymmetric unit:
Pr 0.023 0.000 0.339
Pr 0.176 0.000 0.103
Tl 0.037 0.500 0.881
Tl 0.144 0.500 0.575
Ag 0.218 0.500 0.339

---

no.,calculated total energy (eV/cell)
1,-89.74
2,-103.20
3,-75.03
4,-104.47
5,-236.02
6,-40.41
7,-94.20
8,-21.22
9,-24.16
10,-41.69
11,-34.57
12,-74.64